Entry 1:
Entry from Alexandria: crystalline KCaZrIr2 at its relaxed geometry (PBE).

Energy relative to the elements ... 789 meV per atom
Uncorrected energy ... -25.4 eV/cell
M_tot ... 0.0 μB per cell

a = 5.000 Å, b = 5.697 Å, c = 5.000 Å
α = 90.00°, β = 90.00°, γ = 90.00°
Atoms (fractional coordinates):
Ca1 0.000 0.500 0.000
Ir1 0.000 0.000 0.500
Ir2 0.500 0.000 0.000
K1 0.500 0.500 0.500
Zr1 0.000 0.000 0.000

***

Entry 2:
Entry from Alexandria: crystalline Th2TeH2Se at its relaxed geometry (PBE).

Uncorrected energy ... -34.5 eV/cell
M_tot ... 0.0 μB per cell

a = 4.040 Å, b = 4.040 Å, c = 8.472 Å
α = 90.00°, β = 90.00°, γ = 120.00°
Atoms (fractional coordinates):
Th1 0.333 0.667 0.723
Th2 0.667 0.333 0.277
Te1 0.000 0.000 0.000
H1 0.333 0.667 0.253
H2 0.667 0.333 0.747
Se1 0.000 0.000 0.500

***

Entry 3:
Entry from Alexandria: crystalline VCrSeBr2 at its relaxed geometry (PBE).

Uncorrected energy ... -25.4 eV/cell
M_tot ... 7.0 μB per cell
Formation energy (no corrections) ... 32 meV/atom
Excess energy over the best structure of this formula in the dataset ... 0.00 eV/f.u.

a = 5.180 Å, b = 5.180 Å, c = 4.834 Å
α = 90.00°, β = 90.00°, γ = 90.00°
Last column: magnetic moment on the atom in μB.
Atoms (fractional coordinates):
Cr1 0.500 0.500 0.500  4.32
Se1 0.000 0.000 0.500  -0.21
Br1 0.000 0.500 0.000  0.00
Br2 0.500 0.000 0.000  0.00
V1 0.000 0.000 0.000  2.10

***

Entry 4:
Entry from Alexandria: crystalline LaZnCdIr2 at its relaxed geometry (PBE).

Energy relative to the elements ... 609 meV per atom
Uncorrected energy ... -21.8 eV/cell
M_tot ... 0.0 μB per cell

a = 5.029 Å, b = 4.640 Å, c = 5.029 Å
α = 90.00°, β = 90.00°, γ = 90.00°
Atoms (fractional coordinates):
Cd1 0.000 0.000 0.000
Zn1 0.000 0.500 0.000
Ir1 0.000 0.000 0.500
Ir2 0.500 0.000 0.000
La1 0.500 0.500 0.500

***

Entry 5:
Entry from Alexandria: crystalline BaCd2CuAu at its relaxed geometry (PBE).

Energy relative to the elements ... -194 meV per atom
Uncorrected energy ... -12.1 eV/cell
M_tot ... 0.0 μB per cell

a = 5.061 Å, b = 5.061 Å, c = 5.235 Å
α = 90.00°, β = 90.00°, γ = 90.00°
Atoms (fractional coordinates):
Au1 0.000 0.000 0.500
Ba1 0.500 0.500 0.500
Cu1 0.000 0.000 0.000
Cd1 0.000 0.500 0.000
Cd2 0.500 0.000 0.000

***

Entry 6:
Entry from Alexandria: crystalline TbNd8Er2 at its relaxed geometry (PBE).

Energy relative to the elements ... 158 meV per atom
Uncorrected energy ... -50.2 eV/cell
M_tot ... 0.0 μB per cell
Excess energy over the best structure of this formula in the dataset ... 0.00 eV/f.u.

a = 5.495 Å, b = 8.563 Å, c = 8.563 Å
α = 105.03°, β = 90.02°, γ = 90.02°
Atoms (fractional coordinates):
Tb1 0.500 0.000 0.000
Nd1 0.000 0.969 0.700
Nd2 0.000 0.700 0.969
Nd3 0.500 0.665 0.665
Nd4 0.500 0.253 0.747
Nd5 0.500 0.747 0.253
Nd6 0.500 0.335 0.335
Nd7 0.000 0.300 0.031
Nd8 0.000 0.031 0.300
Er1 0.000 0.619 0.381
Er2 0.000 0.381 0.619

***

Entry 7:
Entry from Alexandria: crystalline PaPbSe4 at its relaxed geometry (PBE).

Uncorrected energy ... -63.3 eV/cell
M_tot ... 0.0 μB per cell
Formation energy (no corrections) ... -752 meV/atom
Excess energy over the best structure of this formula in the dataset ... 0.18 eV/f.u.

a = 6.883 Å, b = 6.445 Å, c = 7.725 Å
α = 90.00°, β = 90.01°, γ = 90.00°
Atoms (fractional coordinates):
Pa1 0.500 0.500 0.000
Pa2 0.000 0.000 0.000
Pb1 0.000 0.000 0.500
Pb2 0.500 0.500 0.500
Se1 0.248 0.748 0.781
Se2 0.748 0.752 0.781
Se3 0.751 0.251 0.781
Se4 0.749 0.751 0.219
Se5 0.251 0.249 0.781
Se6 0.249 0.749 0.219
Se7 0.252 0.248 0.219
Se8 0.752 0.252 0.219

***

Entry 8:
Entry from Alexandria: crystalline ZrNi2Pb at its relaxed geometry (PBE).

Energy relative to the elements ... -149 meV per atom
Uncorrected energy ... -24.4 eV/cell
M_tot ... 0.0 μB per cell

a = 4.204 Å, b = 3.531 Å, c = 5.016 Å
α = 69.40°, β = 90.00°, γ = 90.00°
Atoms (fractional coordinates):
Ni1 0.000 0.199 0.976
Ni2 0.500 0.056 0.264
Pb1 0.000 0.479 0.416
Zr1 0.500 0.766 0.843